Entry 1:
# Mg2Zn6Au, optimized geometry, DFT GGA-PBE
data_Mg2Zn6Au
_chemical_formula_sum 'Mg2 Zn6 Au1'
_symmetry_space_group_name_H-M 'P 1'
_symmetry_Int_Tables_number 1
_symmetry_space_group_name_Hall 'P 1'
_cell_length_a 5.401
_cell_length_b 5.153
_cell_length_c 6.354
_cell_angle_alpha 90.00
_cell_angle_beta 86.07
_cell_angle_gamma 61.50
loop_
_atom_site_label
_atom_site_type_symbol
_atom_site_fract_x
_atom_site_fract_y
_atom_site_fract_z
Zn1 Zn 0.171 0.659 0.328
Zn2 Zn 0.171 0.171 0.328
Zn3 Zn 0.829 0.341 0.672
Zn4 Zn 0.361 0.820 0.649
Zn5 Zn 0.829 0.829 0.672
Zn6 Zn 0.639 0.180 0.351
Au1 Au 0.000 0.000 0.000
Mg1 Mg 0.674 0.663 0.100
Mg2 Mg 0.326 0.337 0.900
# energy of formation: -0.129 eV per atom
# raw total energy: -15.3 eV per formula unit
# N(E_F): 0.1780 states/eV/atom



Entry 2:
# MgZnAu14, optimized geometry, DFT GGA-PBE
data_MgZnAu14
_chemical_formula_sum 'Mg1 Zn1 Au14'
_symmetry_space_group_name_H-M 'P 1'
_symmetry_Int_Tables_number 1
_symmetry_space_group_name_Hall 'P 1'
_cell_length_a 6.091
_cell_length_b 6.091
_cell_length_c 7.689
_cell_angle_alpha 90.00
_cell_angle_beta 90.00
_cell_angle_gamma 90.01
loop_
_atom_site_label
_atom_site_type_symbol
_atom_site_fract_x
_atom_site_fract_y
_atom_site_fract_z
Au1 Au 0.126 0.624 0.744
Au2 Au 0.624 0.624 0.256
Au3 Au 0.875 0.375 0.500
Au4 Au 0.375 0.875 0.000
Au5 Au 0.375 0.375 0.000
Au6 Au 0.875 0.875 0.000
Au7 Au 0.624 0.624 0.744
Au8 Au 0.126 0.126 0.744
Au9 Au 0.375 0.875 0.500
Au10 Au 0.126 0.624 0.256
Au11 Au 0.624 0.126 0.744
Au12 Au 0.126 0.126 0.256
Au13 Au 0.624 0.126 0.256
Au14 Au 0.875 0.375 0.000
Zn1 Zn 0.375 0.375 0.500
Mg1 Mg 0.875 0.875 0.500
# energy of formation: -0.129 eV per atom
# raw total energy: -50.8 eV per formula unit
# N(E_F): 0.0665 states/eV/atom



Entry 3:
# MgZnAu4, optimized geometry, DFT GGA-PBE
data_MgZnAu4
_chemical_formula_sum 'Mg2 Zn2 Au8'
_symmetry_space_group_name_H-M 'P 1'
_symmetry_Int_Tables_number 1
_symmetry_space_group_name_Hall 'P 1'
_cell_length_a 4.678
_cell_length_b 5.598
_cell_length_c 9.549
_cell_angle_alpha 90.00
_cell_angle_beta 104.18
_cell_angle_gamma 90.00
loop_
_atom_site_label
_atom_site_type_symbol
_atom_site_fract_x
_atom_site_fract_y
_atom_site_fract_z
Au1 Au 0.298 0.574 0.595
Au2 Au 0.702 0.570 0.405
Au3 Au 0.854 0.322 0.707
Au4 Au 0.146 0.822 0.293
Au5 Au 0.702 0.074 0.405
Au6 Au 0.561 0.323 0.122
Au7 Au 0.439 0.823 0.878
Au8 Au 0.298 0.070 0.595
Zn1 Zn 0.574 0.823 0.148
Zn2 Zn 0.426 0.323 0.852
Mg1 Mg 0.150 0.322 0.301
Mg2 Mg 0.850 0.822 0.699
# energy of formation: -0.189 eV per atom
# raw total energy: -17.1 eV per formula unit
# N(E_F): 0.2747 states/eV/atom



Entry 4:
# MgZn4Au2, optimized geometry, DFT GGA-PBE
data_MgZn4Au2
_chemical_formula_sum 'Mg1 Zn4 Au2'
_symmetry_space_group_name_H-M 'P 1'
_symmetry_Int_Tables_number 1
_symmetry_space_group_name_Hall 'P 1'
_cell_length_a 4.469
_cell_length_b 4.469
_cell_length_c 7.436
_cell_angle_alpha 72.51
_cell_angle_beta 72.51
_cell_angle_gamma 60.00
loop_
_atom_site_label
_atom_site_type_symbol
_atom_site_fract_x
_atom_site_fract_y
_atom_site_fract_z
Zn1 Zn 0.132 0.132 0.603
Zn2 Zn 0.399 0.399 0.804
Zn3 Zn 0.868 0.868 0.397
Zn4 Zn 0.601 0.601 0.196
Mg1 Mg 0.000 0.000 0.000
Au1 Au 0.742 0.742 0.773
Au2 Au 0.258 0.258 0.227
# energy of formation: -0.232 eV per atom
# raw total energy: -14.9 eV per formula unit
# N(E_F): 0.2628 states/eV/atom



Entry 5:
# Mg2ZnAu6, optimized geometry, DFT GGA-PBE
data_Mg2ZnAu6
_chemical_formula_sum 'Mg2 Zn1 Au6'
_symmetry_space_group_name_H-M 'P 1'
_symmetry_Int_Tables_number 1
_symmetry_space_group_name_Hall 'P 1'
_cell_length_a 3.891
_cell_length_b 7.796
_cell_length_c 7.426
_cell_angle_alpha 121.66
_cell_angle_beta 105.34
_cell_angle_gamma 90.00
loop_
_atom_site_label
_atom_site_type_symbol
_atom_site_fract_x
_atom_site_fract_y
_atom_site_fract_z
Mg1 Mg 0.655 0.655 0.310
Mg2 Mg 0.345 0.345 0.690
Au1 Au 0.832 0.070 0.665
Au2 Au 0.168 0.930 0.335
Au3 Au 0.500 0.233 0.000
Au4 Au 0.832 0.595 0.665
Au5 Au 0.168 0.405 0.335
Au6 Au 0.500 0.767 0.000
Zn1 Zn 0.000 0.000 0.000
# energy of formation: -0.274 eV per atom
# raw total energy: -26.6 eV per formula unit
# N(E_F): 0.1961 states/eV/atom



Entry 6:
# MgZnAu4, optimized geometry, DFT GGA-PBE
data_MgZnAu4
_chemical_formula_sum 'Mg1 Zn1 Au4'
_symmetry_space_group_name_H-M 'P 1'
_symmetry_Int_Tables_number 1
_symmetry_space_group_name_Hall 'P 1'
_cell_length_a 3.899
_cell_length_b 4.011
_cell_length_c 7.687
_cell_angle_alpha 90.00
_cell_angle_beta 90.00
_cell_angle_gamma 90.00
loop_
_atom_site_label
_atom_site_type_symbol
_atom_site_fract_x
_atom_site_fract_y
_atom_site_fract_z
Au1 Au 0.501 0.997 0.741
Au2 Au 0.001 0.497 0.735
Au3 Au 0.001 0.497 0.262
Au4 Au 0.501 0.997 0.256
Mg1 Mg 0.501 0.497 0.998
Zn1 Zn 0.001 0.998 0.498
# energy of formation: -0.232 eV per atom
# raw total energy: -17.4 eV per formula unit
# N(E_F): 0.2503 states/eV/atom